5
Lattice="4.672 0.000 0.000 0.000 4.672 0.000 0.000 0.000 4.687" Properties=species:S:1:pos:R:3 comment="LiWSeF2 (GGA+U, relaxed)" final_energy_ev_per_atom=-3.314 total_magnetization_mub_per_atom=0.92 spacegroup="No. 123" pbc="T T T"
Li 0.000 0.000 0.000
W 2.336 2.336 0.000
Se 0.000 0.000 2.344
F 0.000 2.336 2.344
F 2.336 0.000 2.344